## LiNdInCu (PBE-GGA)

Data for LiNdInCu after structural relaxation.

Results
- VASP energy (eV per formula unit) = -14.5

a = 6.830 Å, b = 6.830 Å, c = 6.830 Å
α = 90.00°, β = 90.00°, γ = 90.00°
Space group F-43m (No. 216)
Asymmetric unit:
1 Li 0.000 0.000 0.000 x4
2 Nd 0.250 0.250 0.750 x4
3 In 0.250 0.250 0.250 x4
4 Cu 0.000 0.000 0.500 x4

## KAcPd (PBE-GGA)

Data for KAcPd after structural relaxation.

Results
- E above lowest polymorph (meV per atom) = 0.0

a = 7.505 Å, b = 7.505 Å, c = 7.505 Å
α = 90.00°, β = 90.00°, γ = 90.00°
Space group F-43m (No. 216)
Asymmetric unit:
1 K 0.000 0.000 0.000 x4
2 Ac 0.000 0.000 0.500 x4
3 Pd 0.250 0.250 0.750 x4

## SmTlFeTe3 (PBE-GGA)

Data for SmTlFeTe3 after structural relaxation.

Results
- E above lowest polymorph (meV per atom) = 50.0

a = 12.391 Å, b = 4.526 Å, c = 13.208 Å
α = 90.00°, β = 90.00°, γ = 90.00°
Space group Pnma (No. 62)
Asymmetric unit:
1 Sm 0.022 0.250 0.182 x4
2 Tl 0.183 0.250 0.498 x4
3 Fe 0.246 0.750 0.300 x4
4 Te 0.042 0.750 0.348 x4
5 Te 0.104 0.250 0.941 x4
6 Te 0.219 0.750 0.699 x4

## HfInCu3S4 (PBE-GGA)

Data for HfInCu3S4 after structural relaxation.

Results
- E above lowest polymorph (meV per atom) = 72.5

a = 5.941 Å, b = 5.941 Å, c = 5.941 Å
α = 90.00°, β = 90.00°, γ = 90.00°
Space group P-43m (No. 215)
Asymmetric unit:
1 Hf 0.000 0.000 0.000 x1
2 In 0.500 0.500 0.500 x1
3 Cu 0.000 0.000 0.500 x3
4 S 0.229 0.229 0.771 x4

## TlFeCoPt (PBE-GGA)

Data for TlFeCoPt after structural relaxation.

Results
- E above lowest polymorph (meV per atom) = 0.0

a = 6.294 Å, b = 6.294 Å, c = 6.294 Å
α = 90.00°, β = 90.00°, γ = 90.00°
Space group F-43m (No. 216)
Asymmetric unit:
1 Tl 0.000 0.000 0.000 x4
2 Fe 0.000 0.000 0.500 x4
3 Co 0.250 0.250 0.250 x4
4 Pt 0.250 0.250 0.750 x4

## Lu4InCuC2 (PBE-GGA)

Data for Lu4InCuC2 after structural relaxation.

Results
- VASP energy (eV per formula unit) = -45.9

a = 3.5359 Å, b = 3.5359 Å, c = 14.5741 Å
α = 90.00°, β = 90.00°, γ = 120.00°
Space group P-6m2 (No. 187)
Asymmetric unit:
1 Lu 0.0000 0.0000 0.1402 x2
2 Lu 0.6667 0.3333 0.3182 x2
3 In 0.0000 0.0000 0.5000 x1
4 Cu 0.6667 0.3333 0.0000 x1
5 C 0.3333 0.6667 0.2277 x2